This record from Alexandria describes crystalline GeSe4I at its relaxed geometry. The functional is PBE.

Geometry as CIF:
```
data_GeSe4I
_space_group_name_H-M_alt 'C 1 2/m 1'
_space_group_IT_number 12
_space_group_name_Hall '-C 2y'
_cell_length_a 21.7064
_cell_length_b 5.7421
_cell_length_c 7.2798
_cell_angle_alpha 90.00
_cell_angle_beta 95.09
_cell_angle_gamma 90.00
loop_
_atom_site_label
_atom_site_fract_x
_atom_site_fract_y
_atom_site_fract_z
Ge1 0.0715 0.0000 0.1962
Se1 0.0000 0.2772 0.0000
Se2 0.0698 0.2010 0.5120
Se3 0.1756 0.0000 0.1092
I1 0.1847 0.5000 0.1690
```

## Properties
formation energy from raw total energies	81	meV/atom
M_tot	0.000	μB per atom